# CdIn4Ag15 (GGA-PBE, optimized geometry)
# calculated total energy: -2.7630 eV/atom
# symmetry: P4/mmm, No. 123
# ΔE_f: -0.031 eV per atom
data_CdIn4Ag15
_chemical_formula_sum 'Cd1 In4 Ag15'
_symmetry_space_group_name_H-M 'P 1'
_symmetry_Int_Tables_number 1
_symmetry_space_group_name_Hall 'P 1'
_cell_length_a 4.3092
_cell_length_b 4.3092
_cell_length_c 20.2498
_cell_angle_alpha 90.00
_cell_angle_beta 90.00
_cell_angle_gamma 90.00
loop_
_atom_site_label
_atom_site_fract_x
_atom_site_fract_y
_atom_site_fract_z
_atom_site_occupancy
Cd1 0.0000 0.0000 0.0000 1
In1 0.0000 0.0000 0.1986 1
In2 0.0000 0.0000 0.4000 1
In3 0.0000 0.0000 0.6000 1
In4 0.0000 0.0000 0.8014 1
Ag1 0.0000 0.5000 0.0990 1
Ag2 0.0000 0.5000 0.2993 1
Ag3 0.0000 0.5000 0.5000 1
Ag4 0.0000 0.5000 0.7007 1
Ag5 0.0000 0.5000 0.9010 1
Ag6 0.5000 0.0000 0.0990 1
Ag7 0.5000 0.0000 0.2993 1
Ag8 0.5000 0.0000 0.5000 1
Ag9 0.5000 0.0000 0.7007 1
Ag10 0.5000 0.0000 0.9010 1
Ag11 0.5000 0.5000 0.0000 1
Ag12 0.5000 0.5000 0.1996 1
Ag13 0.5000 0.5000 0.3999 1
Ag14 0.5000 0.5000 0.6001 1
Ag15 0.5000 0.5000 0.8004 1

# Cd3In2Ag7 (GGA-PBE, optimized geometry)
# distance to the lowest polymorph of the same formula: 66 meV/atom
# calculated total energy: -2.3014 eV/atom
# symmetry: Cmmm, No. 65
# ΔE_f: 0.047 eV per atom
data_Cd3In2Ag7
_chemical_formula_sum 'Cd3 In2 Ag7'
_symmetry_space_group_name_H-M 'P 1'
_symmetry_Int_Tables_number 1
_symmetry_space_group_name_Hall 'P 1'
_cell_length_a 10.9942
_cell_length_b 10.9942
_cell_length_c 4.8975
_cell_angle_alpha 90.00
_cell_angle_beta 90.00
_cell_angle_gamma 154.16
loop_
_atom_site_label
_atom_site_fract_x
_atom_site_fract_y
_atom_site_fract_z
_atom_site_occupancy
Cd1 0.0000 0.0000 0.0000 1
Cd2 0.1499 0.8501 0.0000 1
Cd3 0.8501 0.1499 0.0000 1
In1 0.3509 0.6491 0.5000 1
In2 0.6491 0.3509 0.5000 1
Ag1 0.0729 0.9271 0.5000 1
Ag2 0.2178 0.7822 0.5000 1
Ag3 0.4267 0.5733 0.0000 1
Ag4 0.5000 0.5000 0.5000 1
Ag5 0.5733 0.4267 0.0000 1
Ag6 0.7822 0.2178 0.5000 1
Ag7 0.9271 0.0729 0.5000 1

# Cd5In3Ag2 (GGA-PBE, optimized geometry)
# calculated total energy: -1.8373 eV/atom
# symmetry: C2/c, No. 15
# ΔE_f: 0.012 eV per atom
data_Cd5In3Ag2
_chemical_formula_sum 'Cd10 In6 Ag4'
_symmetry_space_group_name_H-M 'P 1'
_symmetry_Int_Tables_number 1
_symmetry_space_group_name_Hall 'P 1'
_cell_length_a 12.3666
_cell_length_b 12.3666
_cell_length_c 4.5037
_cell_angle_alpha 100.14
_cell_angle_beta 100.14
_cell_angle_gamma 131.93
loop_
_atom_site_label
_atom_site_fract_x
_atom_site_fract_y
_atom_site_fract_z
_atom_site_occupancy
Cd1 0.0478 0.9522 0.7500 1
Cd2 0.1954 0.2927 0.9794 1
Cd3 0.2137 0.5426 0.8847 1
Cd4 0.2927 0.1954 0.4794 1
Cd5 0.4574 0.7863 0.6153 1
Cd6 0.5426 0.2137 0.3847 1
Cd7 0.7073 0.8046 0.5206 1
Cd8 0.7863 0.4574 0.1153 1
Cd9 0.8046 0.7073 0.0206 1
Cd10 0.9522 0.0478 0.2500 1
In1 0.0338 0.7076 0.8683 1
In2 0.2924 0.9662 0.6317 1
In3 0.4494 0.5506 0.7500 1
In4 0.5506 0.4494 0.2500 1
In5 0.7076 0.0338 0.3683 1
In6 0.9662 0.2924 0.1317 1
Ag1 0.1252 0.6261 0.3787 1
Ag2 0.3739 0.8748 0.1213 1
Ag3 0.6261 0.1252 0.8787 1
Ag4 0.8748 0.3739 0.6213 1

# Cd3In6Ag (GGA-PBE, optimized geometry)
# calculated total energy: -2.1485 eV/atom
# symmetry: Pnnm, No. 58
# ΔE_f: 0.054 eV per atom
data_Cd3In6Ag
_chemical_formula_sum 'Cd6 In12 Ag2'
_symmetry_space_group_name_H-M 'P 1'
_symmetry_Int_Tables_number 1
_symmetry_space_group_name_Hall 'P 1'
_cell_length_a 9.9178
_cell_length_b 10.3804
_cell_length_c 5.0678
_cell_angle_alpha 90.00
_cell_angle_beta 90.00
_cell_angle_gamma 90.00
loop_
_atom_site_label
_atom_site_fract_x
_atom_site_fract_y
_atom_site_fract_z
_atom_site_occupancy
Cd1 0.0000 0.0000 0.0000 1
Cd2 0.0007 0.3548 0.5000 1
Cd3 0.4993 0.8548 0.0000 1
Cd4 0.5000 0.5000 0.5000 1
Cd5 0.5007 0.1452 0.0000 1
Cd6 0.9993 0.6452 0.5000 1
In1 0.1616 0.7587 0.0000 1
In2 0.1627 0.2409 0.0000 1
In3 0.1786 0.0001 0.5000 1
In4 0.3214 0.5001 0.0000 1
In5 0.3373 0.7409 0.5000 1
In6 0.3384 0.2587 0.5000 1
In7 0.6616 0.7413 0.5000 1
In8 0.6627 0.2591 0.5000 1
In9 0.6786 0.4999 0.0000 1
In10 0.8214 0.9999 0.5000 1
In11 0.8373 0.7591 0.0000 1
In12 0.8384 0.2413 0.0000 1
Ag1 0.0000 0.5000 0.0000 1
Ag2 0.5000 0.0000 0.5000 1

# Cd3InAg7 (GGA-PBE, optimized geometry)
# distance to the lowest polymorph of the same formula: 84 meV/atom
# calculated total energy: -2.2133 eV/atom
# symmetry: C2/m, No. 12
# ΔE_f: 0.100 eV per atom
data_Cd3InAg7
_chemical_formula_sum 'Cd3 In1 Ag7'
_symmetry_space_group_name_H-M 'P 1'
_symmetry_Int_Tables_number 1
_symmetry_space_group_name_Hall 'P 1'
_cell_length_a 6.9560
_cell_length_b 6.9560
_cell_length_c 5.3343
_cell_angle_alpha 107.47
_cell_angle_beta 107.47
_cell_angle_gamma 90.33
loop_
_atom_site_label
_atom_site_fract_x
_atom_site_fract_y
_atom_site_fract_z
_atom_site_occupancy
Cd1 0.0000 0.0000 0.0000 1
Cd2 0.2075 0.7925 0.5000 1
Cd3 0.7925 0.2075 0.5000 1
In1 0.5000 0.5000 0.0000 1
Ag1 0.0628 0.5831 0.8207 1
Ag2 0.2186 0.2186 0.5499 1
Ag3 0.4169 0.9372 0.1793 1
Ag4 0.5000 0.5000 0.5000 1
Ag5 0.5831 0.0628 0.8207 1
Ag6 0.7814 0.7814 0.4501 1
Ag7 0.9372 0.4169 0.1793 1

# Cd2InAg5 (GGA-PBE, optimized geometry)
# distance to the lowest polymorph of the same formula: 0 meV/atom
# calculated total energy: -2.3939 eV/atom
# symmetry: I4/mmm, No. 139
# ΔE_f: -0.041 eV per atom
data_Cd2InAg5
_chemical_formula_sum 'Cd2 In1 Ag5'
_symmetry_space_group_name_H-M 'P 1'
_symmetry_Int_Tables_number 1
_symmetry_space_group_name_Hall 'P 1'
_cell_length_a 8.9540
_cell_length_b 8.9540
_cell_length_c 8.9540
_cell_angle_alpha 152.46
_cell_angle_beta 152.46
_cell_angle_gamma 39.34
loop_
_atom_site_label
_atom_site_fract_x
_atom_site_fract_y
_atom_site_fract_z
_atom_site_occupancy
Cd1 0.2481 0.2481 0.0000 1
Cd2 0.7519 0.7519 0.0000 1
In1 0.5000 0.5000 0.0000 1
Ag1 0.0000 0.0000 0.0000 1
Ag2 0.1243 0.6243 0.5000 1
Ag3 0.3757 0.8757 0.5000 1
Ag4 0.6243 0.1243 0.5000 1
Ag5 0.8757 0.3757 0.5000 1

# Cd8InAg4 (GGA-PBE, optimized geometry)
# calculated total energy: -1.6601 eV/atom
# symmetry: I4/mmm, No. 139
# ΔE_f: -0.009 eV per atom
data_Cd8InAg4
_chemical_formula_sum 'Cd8 In1 Ag4'
_symmetry_space_group_name_H-M 'P 1'
_symmetry_Int_Tables_number 1
_symmetry_space_group_name_Hall 'P 1'
_cell_length_a 7.6361
_cell_length_b 7.6361
_cell_length_c 7.6361
_cell_angle_alpha 97.78
_cell_angle_beta 97.78
_cell_angle_gamma 136.81
loop_
_atom_site_label
_atom_site_fract_x
_atom_site_fract_y
_atom_site_fract_z
_atom_site_occupancy
Cd1 0.0000 0.2149 0.2149 1
Cd2 0.0000 0.7851 0.7851 1
Cd3 0.1544 0.5000 0.6544 1
Cd4 0.2149 0.0000 0.2149 1
Cd5 0.5000 0.1544 0.6544 1
Cd6 0.5000 0.8456 0.3456 1
Cd7 0.7851 0.0000 0.7851 1
Cd8 0.8456 0.5000 0.3456 1
In1 0.5000 0.5000 0.0000 1
Ag1 0.0000 0.0000 0.5000 1
Ag2 0.0000 0.5000 0.0000 1
Ag3 0.5000 0.0000 0.0000 1
Ag4 0.5000 0.5000 0.5000 1

# Cd9In3Ag2 (GGA-PBE, optimized geometry)
# calculated total energy: -1.5493 eV/atom
# symmetry: Immm, No. 71
# ΔE_f: 0.033 eV per atom
data_Cd9In3Ag2
_chemical_formula_sum 'Cd9 In3 Ag2'
_symmetry_space_group_name_H-M 'P 1'
_symmetry_Int_Tables_number 1
_symmetry_space_group_name_Hall 'P 1'
_cell_length_a 8.5846
_cell_length_b 8.5846
_cell_length_c 8.5846
_cell_angle_alpha 146.73
_cell_angle_beta 99.22
_cell_angle_gamma 90.21
loop_
_atom_site_label
_atom_site_fract_x
_atom_site_fract_y
_atom_site_fract_z
_atom_site_occupancy
Cd1 0.0000 0.0000 0.0000 1
Cd2 0.0816 0.8604 0.2212 1
Cd3 0.2388 0.3703 0.8685 1
Cd4 0.3608 0.1396 0.2212 1
Cd5 0.4982 0.6297 0.8685 1
Cd6 0.5018 0.3703 0.1315 1
Cd7 0.6392 0.8604 0.7788 1
Cd8 0.7612 0.6297 0.1315 1
Cd9 0.9184 0.1396 0.7788 1
In1 0.2205 0.7205 0.5000 1
In2 0.5000 0.0000 0.5000 1
In3 0.7795 0.2795 0.5000 1
Ag1 0.1408 0.5000 0.6408 1
Ag2 0.8592 0.5000 0.3592 1

Question: Which value of ΔE_f does entry 4 give?
Answer: 0.054 eV per atom

Question: Number 5 is which compound?
Answer: Cd3InAg7

Question: ΔE_f of number 8 (Cd9In3Ag2)?
Answer: 0.033 eV per atom